(1)
YPd4Pt2 PBE relaxed; symmetry = P-1, No. 2; energy relative to the elements = -314.6 meV/atom; magnetic moment = 0.000 μB/atom
1.0
4.7348 0.0000 0.0000
-0.2076 4.9886 0.0000
-0.2458 -0.4577 5.5053
Y Pd Pt
1 4 2
direct
0.0000 0.0000 0.0000
0.4898 0.0036 0.7390
0.5000 0.5000 0.0000
0.5000 0.5000 0.5000
0.5102 0.9964 0.2610
0.0095 0.7464 0.4544
0.9905 0.2536 0.5456

(2)
Hf4TcRu PBE relaxed; symmetry = P4/mmm, No. 123; energy above the most stable polymorph in this dataset = 0.00 kcal/mol of atoms; energy relative to the elements = -398.0 meV/atom; magnetic moment = 0.000 μB/atom
1.0
3.2843 0.0000 0.0000
0.0000 3.2843 0.0000
0.0000 0.0000 10.4479
Hf Tc Ru
4 1 1
direct
0.0000 0.0000 0.1500
0.0000 0.0000 0.8500
0.5000 0.5000 0.3482
0.5000 0.5000 0.6518
0.5000 0.5000 0.0000
0.0000 0.0000 0.5000

(3)
Ag2PdBr2F2 PBE relaxed; formation energy from raw total energies = -0.6368 eV per atom; symmetry = C2/m, No. 12; magnetic moment = 0.148 μB/atom
1.0
6.0225 -1.8640 0.0000
6.0225 1.8640 0.0000
-3.9570 0.0000 5.9755
Ag Pd Br F
2 1 2 2
direct
0.1506 0.1506 0.1084
0.8494 0.8494 0.8916
0.0000 0.0000 0.5000
0.4335 0.4335 0.6911
0.5665 0.5665 0.3089
0.1947 0.1947 0.8012
0.8053 0.8053 0.1988

(4)
CoRh PBE relaxed; symmetry = C2/m, No. 12; energy relative to the elements = 71.3 meV/atom; magnetic moment = 1.114 μB/atom
1.0
5.6434 -1.3277 0.0000
5.6434 1.3277 0.0000
-1.2439 0.0000 5.1339
Co Rh
3 3
direct
0.0000 0.0000 0.0000
0.3346 0.3346 0.1559
0.6654 0.6654 0.8441
0.0000 0.0000 0.5000
0.3326 0.3326 0.6803
0.6674 0.6674 0.3197

(5)
Ac4Nd2Sm PBE relaxed; symmetry = Imma, No. 74; energy above the most stable polymorph in this dataset = 0.20 kcal/mol of atoms; energy relative to the elements = 251.5 meV/atom; magnetic moment = 0.000 μB/atom
1.0
-3.6663 6.1887 6.4088
3.6663 -6.1887 6.4088
3.6663 6.1887 -6.4088
Ac Nd Sm
8 4 2
direct
0.1607 0.1533 0.0074
0.2387 0.2202 0.4815
0.2387 0.7572 0.0185
0.3541 0.8467 0.5074
0.6459 0.1533 0.4926
0.7613 0.2428 0.9815
0.7613 0.7798 0.5185
0.8393 0.8467 0.9926
0.0000 0.5000 0.5000
0.0264 0.2764 0.7500
0.5000 0.5000 0.0000
0.9736 0.7236 0.2500
0.5000 0.0000 0.0000
0.5000 0.5000 0.5000

(6)
Ti2Pt3Au3 PBE relaxed; symmetry = R32, No. 155; energy relative to the elements = -487.5 meV/atom; magnetic moment = 0.000 μB/atom
1.0
3.7476 2.1637 2.7749
-3.7476 2.1637 2.7749
0.0000 -4.3273 2.7749
Ti Pt Au
2 3 3
direct
0.2291 0.2291 0.2291
0.7709 0.7709 0.7709
0.0000 0.2919 0.7081
0.2919 0.7081 0.0000
0.7081 0.0000 0.2919
0.2333 0.7667 0.5000
0.5000 0.2333 0.7667
0.7667 0.5000 0.2333